A plane-wave DFT calculation with GGA+U was carried out for a relaxed structure of ZnNi2O.

The volume is 45.3 Å³ per cell. Its distance to the lowest polymorph of the same formula is 574 meV per atom.

Unit cell a=4.001 b=4.001 c=4.001 alpha=60.00 beta=60.00 gamma=60.00
Positions (direct):
Zn 0.000 0.000 0.000
Ni 0.250 0.250 0.250
Ni 0.750 0.750 0.750
O 0.500 0.500 0.500